[1]
! TmZnH PBE relaxed; values from VASP
&SYSTEM
  ibrav = 0, nat = 12, ntyp = 3
/
ATOMIC_SPECIES
H 1.01 H.upf
Zn 65.41 Zn.upf
Tm 168.93 Tm.upf
ATOMIC_POSITIONS crystal
H 0.7500 0.2500 0.4904
H 0.2500 0.2500 0.9904
H 0.2500 0.7500 0.5096
H 0.7500 0.7500 0.0096
Zn 0.7500 0.7500 0.6929
Zn 0.2500 0.7500 0.1929
Zn 0.2500 0.2500 0.3071
Zn 0.7500 0.2500 0.8071
Tm 0.7500 0.7500 0.4106
Tm 0.2500 0.7500 0.9106
Tm 0.2500 0.2500 0.5894
Tm 0.7500 0.2500 0.0894
CELL_PARAMETERS angstrom
-1.2610 -3.4890 0.0333
0.1513 -0.0153 4.1265
-11.0941 4.0137 0.4218
! SG = Cmcm (63)
! Relative energy among the computed polymorphs = 0 meV per atom

[2]
! Tm2ZnH PBE relaxed; values from VASP
&SYSTEM
  ibrav = 0, nat = 4, ntyp = 3
/
ATOMIC_SPECIES
H 1.01 H.upf
Zn 65.41 Zn.upf
Tm 168.93 Tm.upf
ATOMIC_POSITIONS crystal
H 0.5000 0.5000 0.5000
Zn 0.0000 0.0000 0.0000
Tm 0.1154 0.1154 0.6538
Tm 0.8846 0.8846 0.3462
CELL_PARAMETERS angstrom
3.4386 0.0000 0.0000
1.7193 2.9779 0.0000
1.7193 0.9926 8.5351
! SG = R-3m (166)
! Raw total energy = -13.28 eV/cell

[3]
! Tm2ZrH PBE relaxed; values from VASP
&SYSTEM
  ibrav = 0, nat = 4, ntyp = 3
/
ATOMIC_SPECIES
H 1.01 H.upf
Tm 168.93 Tm.upf
Zr 91.22 Zr.upf
ATOMIC_POSITIONS crystal
H 0.5000 0.5000 0.5000
Tm 0.1168 0.1168 0.6496
Tm 0.8832 0.8832 0.3504
Zr 0.0000 0.0000 0.0000
CELL_PARAMETERS angstrom
3.2967 0.0000 0.0000
1.6484 2.8551 0.0000
1.6484 0.9517 8.9739
! SG = R-3m (166)
! Relative energy among the computed polymorphs = 0 meV per atom

[4]
! Tm5Zr3H12 PBE relaxed; values from VASP
&SYSTEM
  ibrav = 0, nat = 80, ntyp = 3
/
ATOMIC_SPECIES
Zr 91.22 Zr.upf
Tm 168.93 Tm.upf
H 1.01 H.upf
ATOMIC_POSITIONS crystal
Zr 0.7500 0.3750 0.1250
Zr 0.8750 0.7500 0.1250
Zr 0.3750 0.7500 0.6250
Zr 0.2500 0.1250 0.3750
Zr 0.8750 0.1250 0.2500
Zr 0.3750 0.6250 0.2500
Zr 0.6250 0.3750 0.7500
Zr 0.1250 0.8750 0.7500
Zr 0.7500 0.8750 0.6250
Zr 0.6250 0.2500 0.3750
Zr 0.1250 0.2500 0.8750
Zr 0.2500 0.6250 0.8750
Tm 0.1250 0.3750 0.2500
Tm 0.0000 0.5000 0.0000
Tm 0.0000 0.0000 0.0000
Tm 0.3750 0.2500 0.1250
Tm 0.5000 0.0000 0.5000
Tm 0.5000 0.5000 0.0000
Tm 0.1250 0.7500 0.3750
Tm 0.7500 0.1250 0.8750
Tm 0.7500 0.6250 0.3750
Tm 0.3750 0.1250 0.7500
Tm 0.6250 0.8750 0.2500
Tm 0.5000 0.5000 0.5000
Tm 0.5000 0.0000 0.0000
Tm 0.0000 0.0000 0.5000
Tm 0.2500 0.3750 0.6250
Tm 0.2500 0.8750 0.1250
Tm 0.0000 0.5000 0.5000
Tm 0.8750 0.2500 0.6250
Tm 0.6250 0.7500 0.8750
Tm 0.8750 0.6250 0.7500
H 0.7297 0.1596 0.0743
H 0.3446 0.5743 0.4147
H 0.9257 0.3404 0.2703
H 0.5743 0.2297 0.1596
H 0.5701 0.7297 0.6554
H 0.9257 0.5853 0.1554
H 0.3446 0.7703 0.4299
H 0.0853 0.9299 0.1596
H 0.5853 0.9257 0.6554
H 0.7297 0.5701 0.1554
H 0.7703 0.4257 0.3404
H 0.8446 0.9147 0.0743
H 0.1596 0.7297 0.5743
H 0.3404 0.4147 0.0701
H 0.0701 0.9147 0.3404
H 0.4299 0.1596 0.5853
H 0.0701 0.1554 0.2297
H 0.4257 0.6554 0.0853
H 0.8446 0.9299 0.2703
H 0.1596 0.4299 0.0853
H 0.3404 0.9257 0.7703
H 0.5853 0.6596 0.4299
H 0.9147 0.8446 0.5743
H 0.7703 0.3446 0.9299
H 0.4147 0.3404 0.5701
H 0.0853 0.1554 0.4257
H 0.2297 0.6554 0.0701
H 0.1554 0.0701 0.7297
H 0.6596 0.0743 0.2297
H 0.8404 0.5701 0.9147
H 0.5743 0.3446 0.9147
H 0.5701 0.8404 0.4147
H 0.9299 0.8446 0.7703
H 0.9299 0.0853 0.6596
H 0.8404 0.2703 0.4257
H 0.1554 0.0853 0.9257
H 0.6596 0.5853 0.9299
H 0.4147 0.0743 0.3446
H 0.2703 0.4299 0.8446
H 0.2297 0.5743 0.6596
H 0.9147 0.0701 0.8404
H 0.6554 0.2297 0.5701
H 0.4257 0.7703 0.8404
H 0.0743 0.4147 0.8446
H 0.4299 0.2703 0.3446
H 0.0743 0.6596 0.7297
H 0.6554 0.4257 0.5853
H 0.2703 0.8404 0.9257
CELL_PARAMETERS angstrom
10.7608 0.0000 0.0000
-3.5869 10.1454 0.0000
-3.5869 -5.0727 8.7862
! SG = Ia-3d (230)
! Raw total energy = -387.01 eV/cell

[5]
! TmZrH4 PBE relaxed; values from VASP
&SYSTEM
  ibrav = 0, nat = 6, ntyp = 3
/
ATOMIC_SPECIES
Tm 168.93 Tm.upf
Zr 91.22 Zr.upf
H 1.01 H.upf
ATOMIC_POSITIONS crystal
Tm 0.5013 0.4973 0.9981
Zr 0.0013 0.9973 0.4981
H 0.5013 0.9972 0.2625
H 0.5013 0.9973 0.7337
H 0.0013 0.4973 0.7337
H 0.0013 0.4973 0.2625
CELL_PARAMETERS angstrom
3.4527 0.0001 0.0014
0.0000 3.4528 0.0022
-0.0019 -0.0028 4.9984
! SG = P4/mmm (123)
! Raw total energy = -30.27 eV/cell

[6]
! TmZrH PBE relaxed; values from VASP
&SYSTEM
  ibrav = 0, nat = 3, ntyp = 3
/
ATOMIC_SPECIES
H 1.01 H.upf
Tm 168.93 Tm.upf
Zr 91.22 Zr.upf
ATOMIC_POSITIONS crystal
H 0.3333 0.6667 0.6448
Tm 0.0000 0.0000 0.9296
Zr 0.6667 0.3333 0.4256
CELL_PARAMETERS angstrom
-2.1382 -2.1239 1.5564
2.4649 -1.2253 -1.9819
3.2741 -0.2149 4.2048
! SG = P3m1 (156)
! Relative energy among the computed polymorphs = 13 meV per atom

[7]
! TmZrH2 PBE relaxed; values from VASP
&SYSTEM
  ibrav = 0, nat = 4, ntyp = 3
/
ATOMIC_SPECIES
Tm 168.93 Tm.upf
Zr 91.22 Zr.upf
H 1.01 H.upf
ATOMIC_POSITIONS crystal
Tm 0.6727 0.6727 0.9819
Zr 0.4939 0.4939 0.5183
H 0.0914 0.0914 0.7258
H 0.2420 0.2420 0.2739
CELL_PARAMETERS angstrom
-0.2332 -1.6827 2.8701
2.1547 -2.4549 0.6736
4.0414 2.2685 3.5961
! SG = R3m (160)
! Relative energy among the computed polymorphs = 116 meV per atom

[8]
! Tm3Zr5H12 PBE relaxed; values from VASP
&SYSTEM
  ibrav = 0, nat = 80, ntyp = 3
/
ATOMIC_SPECIES
Tm 168.93 Tm.upf
Zr 91.22 Zr.upf
H 1.01 H.upf
ATOMIC_POSITIONS crystal
Tm 0.7500 0.3750 0.1250
Tm 0.8750 0.7500 0.1250
Tm 0.3750 0.7500 0.6250
Tm 0.2500 0.1250 0.3750
Tm 0.8750 0.1250 0.2500
Tm 0.3750 0.6250 0.2500
Tm 0.6250 0.3750 0.7500
Tm 0.1250 0.8750 0.7500
Tm 0.7500 0.8750 0.6250
Tm 0.6250 0.2500 0.3750
Tm 0.1250 0.2500 0.8750
Tm 0.2500 0.6250 0.8750
Zr 0.1250 0.3750 0.2500
Zr 0.0000 0.5000 0.0000
Zr 0.0000 0.0000 0.0000
Zr 0.3750 0.2500 0.1250
Zr 0.5000 0.0000 0.5000
Zr 0.5000 0.5000 0.0000
Zr 0.1250 0.7500 0.3750
Zr 0.7500 0.1250 0.8750
Zr 0.7500 0.6250 0.3750
Zr 0.3750 0.1250 0.7500
Zr 0.6250 0.8750 0.2500
Zr 0.5000 0.5000 0.5000
Zr 0.5000 0.0000 0.0000
Zr 0.0000 0.0000 0.5000
Zr 0.2500 0.3750 0.6250
Zr 0.2500 0.8750 0.1250
Zr 0.0000 0.5000 0.5000
Zr 0.8750 0.2500 0.6250
Zr 0.6250 0.7500 0.8750
Zr 0.8750 0.6250 0.7500
H 0.7203 0.1456 0.0601
H 0.3398 0.5601 0.4145
H 0.9399 0.3544 0.2797
H 0.5601 0.2203 0.1456
H 0.5747 0.7203 0.6602
H 0.9399 0.5855 0.1602
H 0.3398 0.7797 0.4253
H 0.0855 0.9253 0.1456
H 0.5855 0.9399 0.6602
H 0.7203 0.5747 0.1602
H 0.7797 0.4399 0.3544
H 0.8398 0.9145 0.0601
H 0.1456 0.7203 0.5601
H 0.3544 0.4145 0.0747
H 0.0747 0.9145 0.3544
H 0.4253 0.1456 0.5855
H 0.0747 0.1602 0.2203
H 0.4399 0.6602 0.0855
H 0.8398 0.9253 0.2797
H 0.1456 0.4253 0.0855
H 0.3544 0.9399 0.7797
H 0.5855 0.6456 0.4253
H 0.9145 0.8398 0.5601
H 0.7797 0.3398 0.9253
H 0.4145 0.3544 0.5747
H 0.0855 0.1602 0.4399
H 0.2203 0.6602 0.0747
H 0.1602 0.0747 0.7203
H 0.6456 0.0601 0.2203
H 0.8544 0.5747 0.9145
H 0.5601 0.3398 0.9145
H 0.5747 0.8544 0.4145
H 0.9253 0.8398 0.7797
H 0.9253 0.0855 0.6456
H 0.8544 0.2797 0.4399
H 0.1602 0.0855 0.9399
H 0.6456 0.5855 0.9253
H 0.4145 0.0601 0.3398
H 0.2797 0.4253 0.8398
H 0.2203 0.5601 0.6456
H 0.9145 0.0747 0.8544
H 0.6602 0.2203 0.5747
H 0.4399 0.7797 0.8544
H 0.0601 0.4145 0.8398
H 0.4253 0.2797 0.3398
H 0.0601 0.6456 0.7203
H 0.6602 0.4399 0.5855
H 0.2797 0.8544 0.9399
CELL_PARAMETERS angstrom
-4.4592 9.1675 -2.9696
-0.4205 -6.9116 -8.0498
-5.2531 -3.9538 8.3378
! SG = Ia-3d (230)
! Raw total energy = -423.86 eV/cell

[9]
! TmZrH PBE relaxed; values from VASP
&SYSTEM
  ibrav = 0, nat = 18, ntyp = 3
/
ATOMIC_SPECIES
H 1.01 H.upf
Tm 168.93 Tm.upf
Zr 91.22 Zr.upf
ATOMIC_POSITIONS crystal
H 0.0672 0.4513 0.1344
H 0.9328 0.3164 0.8656
H 0.1761 0.0593 0.3522
H 0.8239 0.7071 0.6478
H 0.4328 0.8164 0.8656
H 0.5672 0.9513 0.1344
Tm 0.0795 0.9636 0.1590
Tm 0.9205 0.8040 0.8410
Tm 0.2498 0.1330 0.4996
Tm 0.7502 0.6334 0.5003
Tm 0.4181 0.3016 0.8362
Tm 0.5819 0.4660 0.1638
Zr 0.0000 0.3839 0.0000
Zr 0.3279 0.7113 0.6558
Zr 0.6721 0.0553 0.3442
Zr 0.5000 0.8839 0.0000
Zr 0.1721 0.5552 0.3442
Zr 0.8279 0.2113 0.6558
CELL_PARAMETERS angstrom
-3.1134 -1.3990 -2.9701
1.5417 -4.2366 0.3794
-9.1707 0.2440 12.9448
! SG = I4/mmm (139)
! Relative energy among the computed polymorphs = 0 meV per atom

[10]
! TmZrH2 PBE relaxed; values from VASP
&SYSTEM
  ibrav = 0, nat = 4, ntyp = 3
/
ATOMIC_SPECIES
H 1.01 H.upf
Tm 168.93 Tm.upf
Zr 91.22 Zr.upf
ATOMIC_POSITIONS crystal
H 0.7329 0.7329 0.8013
H 0.2671 0.2671 0.1987
Tm 0.5000 0.5000 0.5000
Zr 0.0000 0.0000 0.0000
CELL_PARAMETERS angstrom
3.3394 0.0000 0.0000
1.6697 2.8920 0.0000
1.6697 0.9640 5.4799
! SG = R-3m (166)
! Relative energy among the computed polymorphs = 0 meV per atom

[11]
! TmZr2H8 PBE relaxed; values from VASP
&SYSTEM
  ibrav = 0, nat = 11, ntyp = 3
/
ATOMIC_SPECIES
Tm 168.93 Tm.upf
Zr 91.22 Zr.upf
H 1.01 H.upf
ATOMIC_POSITIONS crystal
Tm 0.5000 0.0000 0.0000
Zr 0.1719 0.6719 0.3438
Zr 0.8281 0.3281 0.6562
H 0.6632 0.9009 0.3265
H 0.3368 0.5744 0.6735
H 0.1755 0.1755 0.3510
H 0.0000 0.2724 0.0000
H 0.8245 0.8245 0.6490
H 0.6632 0.4256 0.3265
H 0.3368 0.0991 0.6735
H 0.0000 0.7276 0.0000
CELL_PARAMETERS angstrom
3.0831 0.0000 -0.9383
-0.8369 4.8416 -2.7498
0.0937 0.0604 5.8424
! SG = Immm (71)
! Raw total energy = -53.11 eV/cell

[12]
! Tm2ZrH8 PBE relaxed; values from VASP
&SYSTEM
  ibrav = 0, nat = 11, ntyp = 3
/
ATOMIC_SPECIES
Tm 168.93 Tm.upf
Zr 91.22 Zr.upf
H 1.01 H.upf
ATOMIC_POSITIONS crystal
Tm 0.1672 0.6672 0.3345
Tm 0.8328 0.3328 0.6655
Zr 0.5000 0.0000 0.0000
H 0.6560 0.8987 0.3120
H 0.3440 0.5867 0.6880
H 0.1672 0.1671 0.3343
H 0.0000 0.2470 0.0000
H 0.8328 0.8329 0.6657
H 0.6560 0.4133 0.3120
H 0.3440 0.1013 0.6880
H 0.0000 0.7530 0.0000
CELL_PARAMETERS angstrom
3.4662 0.0000 -1.0549
-0.7120 4.1189 -2.3393
-0.0596 0.6269 6.0261
! SG = Immm (71)
! Raw total energy = -49.93 eV/cell

DOS(E_F) in states/eV/atom, matching the order above: 0.56 0.67 1.11 0.59 0.33 0.44 0.59 0.32 0.85 0.91 0.20 0.19